1.
5
Lattice="-1.762 -1.860 -4.789 -3.464 -3.310 2.559 -3.868 3.960 -0.114" Properties=species:S:1:pos:R:3 comment="PBE LaPm2AgRu, optimized geometry" spacegroup="P4mm, No. 99" e_form_ev_per_atom=-0.064 pbc="T T T"
Ru -0.068 0.070 -0.002
Pm -5.412 2.112 1.171
Pm -8.025 -0.472 0.056
Ag -4.948 -0.195 -1.184
La -5.306 -1.424 2.505

***

2.
18
Lattice="-0.648 0.458 3.995 4.430 -7.434 -0.505 10.611 6.255 1.004" Properties=species:S:1:pos:R:3 comment="PBE La2PmAgS5, optimized geometry" spacegroup="Cmc2_1, No. 36" e_form_raw_mev_per_atom=-1768.7 pbc="T T T"
La 8.184 2.624 1.027
La 11.289 -0.174 3.927
La 4.230 0.116 0.673
La 4.784 -4.186 3.332
S 6.160 1.293 2.927
S 1.241 -0.088 0.211
S 7.932 5.074 2.781
S 2.931 -5.139 1.065
S 7.038 -5.455 1.767
S 10.199 2.674 3.424
S 9.629 -2.710 3.949
S 9.414 -0.077 1.536
S 6.117 -2.261 1.251
S 3.090 -1.758 2.779
Ag 10.184 6.023 3.038
Ag 8.967 -3.940 1.906
Pm 1.577 -2.743 0.570
Pm 7.531 -1.093 3.423

***

3.
4
Lattice="-4.877 1.894 -1.392 -4.301 -1.045 3.118 -2.284 3.974 2.881" Properties=species:S:1:pos:R:3 comment="PBE LaPmAgSb, optimized geometry" spacegroup="F-43m, No. 216" e_form_raw_mev_per_atom=-631.7 pbc="T T T"
Pm 0.000 0.000 0.000
Sb -8.596 3.617 3.455
Ag -2.865 1.206 1.152
La -5.731 2.411 2.303